## TlCuNi2 (GGA-PBE)

Data for an optimized crystal structure of TlCuNi2.

a = 3.9211 Å, b = 3.6323 Å, c = 3.9225 Å
α = 89.98°, β = 90.00°, γ = 90.00°
Element x y z (fractional)
Tl: 0.0000 0.6251 0.3751
Cu: 0.5000 0.6250 0.8750
Ni: 0.5000 0.1250 0.3749
Ni: 0.0000 0.1250 0.8751

Computed properties:
DOS at the Fermi energy	1.6	states/eV per cell
distance to the lowest polymorph of the same formula	0.04	eV/f.u.

---

## TlCuNi (GGA-PBE)

Data for an optimized crystal structure of TlCuNi.

a = 4.2206 Å, b = 4.2206 Å, c = 4.2206 Å
α = 60.00°, β = 60.00°, γ = 60.00°
Element x y z (fractional)
Ni: 0.2500 0.2500 0.2500
Tl: 0.0000 0.0000 0.0000
Cu: 0.5000 0.5000 0.5000

Computed properties:
DOS at the Fermi energy	1.2	states/eV per cell
distance to the lowest polymorph of the same formula	0.15	eV/f.u.